1.
# Hf2CuTe6 PBE optimized geometry
# Formation energy without anion corrections: -0.38 eV per atom
# Electronic total energy: -5.1381 eV per atom
# Crystal system: monoclinic
data_Hf2CuTe6
_chemical_formula_sum 'Hf4 Cu2 Te12'
_cell_length_a 6.020
_cell_length_b 7.483
_cell_length_c 11.418
_cell_angle_alpha 90.00
_cell_angle_beta 109.78
_cell_angle_gamma 90.00
_space_group_name_H-M_alt 'P 1'
_space_group_IT_number 1
_space_group_name_Hall 'P 1'
loop_
_atom_site_label
_atom_site_fract_x
_atom_site_fract_y
_atom_site_fract_z
Hf1 0.131 0.096 0.231
Hf2 0.131 0.404 0.731
Hf3 0.869 0.596 0.269
Hf4 0.869 0.904 0.769
Cu1 0.500 0.000 0.000
Cu2 0.500 0.500 0.500
Te1 0.097 0.191 0.943
Te2 0.097 0.309 0.443
Te3 0.256 0.674 0.921
Te4 0.256 0.826 0.421
Te5 0.401 0.065 0.754
Te6 0.401 0.435 0.254
Te7 0.599 0.565 0.746
Te8 0.599 0.935 0.246
Te9 0.744 0.174 0.579
Te10 0.744 0.326 0.079
Te11 0.903 0.691 0.557
Te12 0.903 0.809 0.057

---

2.
# HgIr2Rh2 PBE optimized geometry
# Electronic total energy: -6.0863 eV per atom
# E_form: 2.3 eV per formula unit
# Energy above the most stable polymorph in this dataset: 152.0 meV/atom
# Crystal system: tetragonal
data_HgIr2Rh2
_chemical_formula_sum 'Hg2 Ir4 Rh4'
_cell_length_a 3.725
_cell_length_b 3.725
_cell_length_c 12.335
_cell_angle_alpha 90.00
_cell_angle_beta 90.00
_cell_angle_gamma 90.00
_space_group_name_H-M_alt 'P 1'
_space_group_IT_number 1
_space_group_name_Hall 'P 1'
loop_
_atom_site_label
_atom_site_fract_x
_atom_site_fract_y
_atom_site_fract_z
Hg1 0.000 0.000 0.000
Hg2 0.500 0.500 0.500
Ir1 0.000 0.000 0.398
Ir2 0.000 0.000 0.602
Ir3 0.500 0.500 0.102
Ir4 0.500 0.500 0.898
Rh1 0.000 0.500 0.250
Rh2 0.000 0.500 0.750
Rh3 0.500 0.000 0.250
Rh4 0.500 0.000 0.750